No. 1
DFT (GGA-PBE) results for InAg2Ir after structural relaxation.

Values from the calculation:
Energy of formation, eV/atom: 0.128
Space-group type: Pm
Calculated volume, Å³/atom: 17.8
Crystal system: monoclinic

a = 3.033 Å, b = 3.954 Å, c = 5.928 Å
α = 90.00°, β = 90.65°, γ = 90.00°
Positions (direct):
In1 0.000 0.000 0.000
Ag1 0.001 0.000 0.476
Ag2 0.504 0.500 0.708
Ir1 0.502 0.500 0.208


No. 2
DFT (GGA-PBE) results for BaTb4YSe8 after structural relaxation.

Values from the calculation:
Space-group type: R3m
Calculated volume, Å³/atom: 32.5
Crystal system: trigonal
Raw formation energy, meV per atom: -1783

a = 8.634 Å, b = 8.634 Å, c = 8.634 Å
α = 60.02°, β = 60.02°, γ = 60.02°
Positions (direct):
Ba1 0.000 0.000 0.000
Tb1 0.120 0.627 0.627
Tb2 0.250 0.250 0.250
Tb3 0.627 0.120 0.627
Tb4 0.627 0.627 0.120
Y1 0.627 0.627 0.627
Se1 0.382 0.382 0.382
Se2 0.383 0.383 0.853
Se3 0.383 0.853 0.383
Se4 0.426 0.858 0.858
Se5 0.853 0.383 0.383
Se6 0.858 0.426 0.858
Se7 0.858 0.858 0.426
Se8 0.858 0.858 0.858


No. 3
DFT (GGA-PBE) results for Zr2Sn2Cl after structural relaxation.

Values from the calculation:
Space-group type: P4/mbm
Calculated volume, Å³/atom: 23.2
Crystal system: tetragonal
Raw formation energy, meV per atom: -516

a = 7.381 Å, b = 7.381 Å, c = 4.255 Å
α = 90.00°, β = 90.00°, γ = 90.00°
Positions (direct):
Zr1 0.164 0.336 0.000
Zr2 0.336 0.836 0.000
Zr3 0.664 0.164 0.000
Zr4 0.836 0.664 0.000
Sn1 0.137 0.637 0.500
Sn2 0.363 0.137 0.500
Sn3 0.637 0.863 0.500
Sn4 0.863 0.363 0.500
Cl1 0.000 0.000 0.000
Cl2 0.500 0.500 0.000